Here is a relaxed SrNb2AgI crystal from the Alexandria database. Energies are from PBE-GGA.

abc: 5.120 5.120 6.311
angles: 90.00 90.00 90.00
Fractional positions:
Sr (0.000, 0.000, 0.000)
Nb (0.000, 0.500, 0.500)
Nb (0.500, 0.000, 0.500)
Ag (0.000, 0.000, 0.500)
I (0.500, 0.500, 0.000)

Values from the calculation:
**SG**: P4/mmm (123)
**E_form (uncorrected)**: 1.107 eV/atom
**E_tot**: -4.1373 eV per atom